(1)
A plane-wave DFT calculation with PBE was carried out for a relaxed CsBe2GeCl crystal.

Cell: 5.712 5.712 5.139 Å, 90.00 90.00 90.00°
Space group P4/mmm (No. 123)
Unique sites:
Cs (0.000, 0.000, 0.000) (multiplicity 1)
Be (0.000, 0.500, 0.500) (multiplicity 2)
Ge (0.500, 0.500, 0.000) (multiplicity 1)
Cl (0.500, 0.500, 0.500) (multiplicity 1)

Electronic total energy in eV per cell: -9.00
Calculated volume in Å³/atom: 33.54
D(E_F) in states/eV per cell: 3.2

=====

(2)
A plane-wave DFT calculation with PBE was carried out for a relaxed KLiCdPb2 crystal.

Cell: 5.310 5.310 5.330 Å, 90.00 90.00 90.00°
Space group P4/mmm (No. 123)
Unique sites:
K (0.000, 0.000, 0.000) (multiplicity 1)
Li (0.500, 0.500, 0.500) (multiplicity 1)
Cd (0.500, 0.500, 0.000) (multiplicity 1)
Pb (0.000, 0.500, 0.500) (multiplicity 2)

Electronic total energy in eV per cell: -11.39
Energy of formation from the pure elements in eV/atom: -0.0089
Calculated volume in Å³/atom: 30.06
D(E_F) in states/eV per cell: 1.6

=====

(3)
A plane-wave DFT calculation with PBE was carried out for a relaxed Er2MgTlC crystal.

Cell: 4.893 4.893 4.458 Å, 90.00 90.00 90.00°
Space group P4/mmm (No. 123)
Unique sites:
Er (0.000, 0.500, 0.000) (multiplicity 2)
Mg (0.000, 0.000, 0.500) (multiplicity 1)
Tl (0.500, 0.500, 0.500) (multiplicity 1)
C (0.000, 0.000, 0.000) (multiplicity 1)

Electronic total energy in eV per cell: -23.80
Energy of formation from the pure elements in eV/atom: -0.2980
Calculated volume in Å³/atom: 21.35
D(E_F) in states/eV per cell: 2.4

=====

(4)
A plane-wave DFT calculation with PBE was carried out for a relaxed Th4TcPb crystal.

Cell: 6.988 5.760 8.737 Å, 90.00 90.00 90.00°
Space group Pmn2_1 (No. 31)
Unique sites:
Th (0.000, 0.089, 0.000) (multiplicity 2)
Th (0.000, 0.778, 0.621) (multiplicity 2)
Th (0.240, 0.675, 0.210) (multiplicity 4)
Tc (0.000, 0.559, 0.924) (multiplicity 2)
Pb (0.000, 0.214, 0.375) (multiplicity 2)

Electronic total energy in eV per cell: -86.79
Energy of formation from the pure elements in eV/atom: 0.0599
Energy above the most stable polymorph in this dataset in eV/atom: 0.2173
Calculated volume in Å³/atom: 29.31
D(E_F) in states/eV per cell: 17.6

=====

(5)
A plane-wave DFT calculation with PBE was carried out for a relaxed CsZnIn2Fe crystal.

Cell: 6.513 6.513 4.930 Å, 90.00 90.00 90.00°
Space group P4/mmm (No. 123)
Unique sites:
Cs (0.000, 0.000, 0.000) (multiplicity 1)
Zn (0.500, 0.500, 0.500) (multiplicity 1)
In (0.000, 0.500, 0.000) (multiplicity 2)
Fe (0.000, 0.000, 0.500) (multiplicity 1)

Electronic total energy in eV per cell: -7.22
Energy of formation from the pure elements in eV/atom: 1.7696
Calculated volume in Å³/atom: 41.82
D(E_F) in states/eV per cell: 7.7

=====

(6)
A plane-wave DFT calculation with PBE was carried out for a relaxed TbAlZnPt crystal.

Cell: 6.645 6.645 6.645 Å, 90.00 90.00 90.00°
Space group F-43m (No. 216)
Unique sites:
Tb (0.000, 0.000, 0.000) (multiplicity 4)
Al (0.000, 0.000, 0.500) (multiplicity 4)
Zn (0.250, 0.250, 0.750) (multiplicity 4)
Pt (0.250, 0.250, 0.250) (multiplicity 4)

Electronic total energy in eV per cell: -74.40
Energy of formation from the pure elements in eV/atom: -0.7279
Calculated volume in Å³/atom: 18.34
D(E_F) in states/eV per cell: 5.3

=====

(7)
A plane-wave DFT calculation with PBE was carried out for a relaxed TlInPdPt crystal.

Cell: 6.707 6.707 6.707 Å, 90.00 90.00 90.00°
Space group F-43m (No. 216)
Unique sites:
Tl (0.000, 0.000, 0.000) (multiplicity 4)
In (0.000, 0.000, 0.500) (multiplicity 4)
Pd (0.250, 0.250, 0.250) (multiplicity 4)
Pt (0.250, 0.250, 0.750) (multiplicity 4)

Electronic total energy in eV per cell: -68.88
Energy of formation from the pure elements in eV/atom: -0.2203
Calculated volume in Å³/atom: 18.86
D(E_F) in states/eV per cell: 7.5

=====

(8)
A plane-wave DFT calculation with PBE was carried out for a relaxed Si2TcTe crystal.

Cell: 3.586 4.415 4.676 Å, 90.00 90.10 90.00°
Space group P2/m (No. 10)
Unique sites:
Si (0.002, 0.000, 0.250) (multiplicity 2)
Tc (0.000, 0.500, 0.500) (multiplicity 1)
Te (0.500, 0.500, 0.000) (multiplicity 1)

Electronic total energy in eV per cell: -22.92
Calculated volume in Å³/atom: 18.51
D(E_F) in states/eV per cell: 1.8

=====

calculated volume of number 3 (Er2MgTlC)? 21.35 Å³/atom

=====

The lowest electronic total energy belongs to which entry? Th4TcPb

=====

Which of these has the highest electronic total energy? CsZnIn2Fe

=====

Which of these has the lowest D(E_F)? KLiCdPb2